Density functional theory data (PBE) for crystalline NiSbRu2 at its relaxed geometry.

The total energy comes out at -6.954 eV per atom. Its raw formation energy is 160 meV/atom. Its space group is Cm, No. 8.

Structure (POSCAR):
```
NiSbRu2
1.0
4.6761 0.0022 -0.0001
3.7337 2.8152 -0.0001
0.8676 0.2907 4.5375
Ni Ru Sb
1 2 1
Direct
0.2509 0.2509 0.2411
0.9996 0.9996 0.9995
0.7475 0.7475 0.7748
0.5019 0.5019 0.4846
```